(1)
The following is a PBE-GGA calculation of a relaxed structure of Na5GaHg4, from the Alexandria database.

Cell lengths 3.596, 3.596, 19.700 Å; angles 90.00, 90.00, 90.00 degrees
Space group P4/mmm (No. 123)
Symmetry-distinct sites (fractional):
Na: 0.000 0.000 0.000 (multiplicity 1)
Na: 0.000 0.000 0.202 (multiplicity 2)
Na: 0.000 0.000 0.404 (multiplicity 2)
Ga: 0.500 0.500 0.500 (multiplicity 1)
Hg: 0.500 0.500 0.101 (multiplicity 2)
Hg: 0.500 0.500 0.303 (multiplicity 2)

Calculated values
ρ: 6.4 g cm⁻³
volume: 25.47 Å³/atom

=====

(2)
The following is a PBE-GGA calculation of a relaxed structure of Na3GaHg4, from the Alexandria database.

Cell lengths 15.455, 5.197, 5.196 Å; angles 90.00, 109.40, 90.00 degrees
Space group C2/m (No. 12)
Symmetry-distinct sites (fractional):
Na: 0.000 0.000 0.000 (multiplicity 2)
Na: 0.245 0.500 0.745 (multiplicity 4)
Ga: 0.000 0.500 0.500 (multiplicity 2)
Hg: 0.119 0.000 0.618 (multiplicity 4)
Hg: 0.119 0.500 0.119 (multiplicity 4)

Calculated values
ρ: 7.9 g cm⁻³
volume: 24.60 Å³/atom
distance to the lowest polymorph of the same formula: 0.000 eV/atom

=====

(3)
The following is a PBE-GGA calculation of a relaxed structure of NaGaHg, from the Alexandria database.

Cell lengths 3.726, 3.726, 10.332 Å; angles 90.00, 90.00, 90.00 degrees
Space group I4mm (No. 107)
Symmetry-distinct sites (fractional):
Na: 0.000 0.000 0.000 (multiplicity 2)
Ga: 0.000 0.000 0.310 (multiplicity 2)
Hg: 0.000 0.000 0.689 (multiplicity 2)

Calculated values
ρ: 6.8 g cm⁻³
volume: 23.90 Å³/atom
distance to the lowest polymorph of the same formula: 0.078 eV/atom

=====

(4)
The following is a PBE-GGA calculation of a relaxed structure of Na3GaHg6, from the Alexandria database.

Cell lengths 8.861, 5.246, 11.495 Å; angles 90.00, 111.93, 90.00 degrees
Space group P2_1/m (No. 11)
Symmetry-distinct sites (fractional):
Na: 0.049 0.250 0.381 (multiplicity 2)
Na: 0.148 0.750 0.228 (multiplicity 2)
Na: 0.283 0.250 0.987 (multiplicity 2)
Ga: 0.439 0.250 0.567 (multiplicity 2)
Hg: 0.029 0.750 0.928 (multiplicity 2)
Hg: 0.159 0.250 0.675 (multiplicity 2)
Hg: 0.254 0.750 0.524 (multiplicity 2)
Hg: 0.328 0.750 0.833 (multiplicity 2)
Hg: 0.365 0.250 0.288 (multiplicity 2)
Hg: 0.447 0.750 0.146 (multiplicity 2)

Calculated values
ρ: 9.0 g cm⁻³
volume: 24.78 Å³/atom

=====

(5)
The following is a PBE-GGA calculation of a relaxed structure of Na2GaHg, from the Alexandria database.

Cell lengths 3.3654, 3.3654, 30.8461 Å; angles 90.00, 90.00, 120.00 degrees
Space group R3m (No. 160, hexagonal axes)
Symmetry-distinct sites (fractional):
Na: 0.0000 0.0000 0.0000 (multiplicity 3)
Na: 0.0000 0.0000 0.1657 (multiplicity 3)
Ga: 0.0000 0.0000 0.7495 (multiplicity 3)
Hg: 0.0000 0.0000 0.5828 (multiplicity 3)

Calculated values
ρ: 5.2 g cm⁻³
volume: 25.21 Å³/atom
distance to the lowest polymorph of the same formula: 0.106 eV/atom

=====

(6)
The following is a PBE-GGA calculation of a relaxed structure of Na5Ga2Hg12, from the Alexandria database.

Cell lengths 14.749, 8.421, 7.978 Å; angles 90.00, 96.23, 90.00 degrees
Space group C2/m (No. 12)
Symmetry-distinct sites (fractional):
Na: 0.000 0.000 0.000 (multiplicity 2)
Na: 0.180 0.500 0.460 (multiplicity 4)
Na: 0.246 0.000 0.084 (multiplicity 4)
Ga: 0.000 0.242 0.500 (multiplicity 4)
Hg: 0.037 0.500 0.746 (multiplicity 4)
Hg: 0.110 0.000 0.366 (multiplicity 4)
Hg: 0.116 0.303 0.112 (multiplicity 8)
Hg: 0.165 0.183 0.741 (multiplicity 8)

Calculated values
ρ: 9.0 g cm⁻³
volume: 25.92 Å³/atom

=====

no.,total DFT energy (no corrections) (Ha/atom),magnetization (μB per atom)
1,-0.04647,0.000
2,-0.04445,0.000
3,-0.06002,0.000
4,-0.03868,0.000
5,-0.05616,0.000
6,-0.03653,0.000